! Zn3CuAu5, optimized geometry, DFT GGA-PBE; values from VASP
! - DFT formation energy (meV per atom) = 49
! - total magnetic moment (Bohr magnetons per cell) = 0.0
&SYSTEM
  ibrav = 0, nat = 18, ntyp = 3
/
ATOMIC_SPECIES
Zn 65.41 Zn.upf
Cu 63.55 Cu.upf
Au 196.97 Au.upf
ATOMIC_POSITIONS crystal
Zn 0.7471 0.7471 0.8758
Zn 0.7103 0.7103 0.4664
Zn 0.0000 0.0000 0.0000
Zn 0.0000 0.0000 0.5000
Zn 0.2529 0.2529 0.1242
Zn 0.2897 0.2897 0.5336
Cu 0.0320 0.0320 0.7382
Cu 0.9680 0.9680 0.2618
Au 0.9852 0.4082 0.3330
Au 0.3213 0.6787 0.0000
Au 0.7330 0.7330 0.1331
Au 0.4734 0.4734 0.3137
Au 0.5266 0.5266 0.6863
Au 0.2670 0.2670 0.8669
Au 0.4082 0.9852 0.3330
Au 0.6787 0.3213 0.0000
Au 0.0148 0.5918 0.6670
Au 0.5918 0.0148 0.6670
CELL_PARAMETERS angstrom
5.7209 -0.4114 -0.4799
1.1705 5.6150 -0.4799
1.8258 1.3787 10.0244